SrRu2Pb | Alexandria | GGA-PBE | optimized geometry; DFT total energy = -5.863 eV per atom; ΔE_f = 0.122 eV per atom; density of states at the Fermi level = 1.20 states/eV/atom; M_tot = 0.00 μB/cell
1.0
2.162 1.248 6.183
-2.162 1.248 6.183
0.000 -2.497 6.183
Sr Ru Pb
1 2 1
Cartesian
0.000 0.000 0.000
0.000 0.000 8.414
0.000 0.000 14.570
0.000 0.000 3.726

=====

SrRuPb2 | Alexandria | GGA-PBE | optimized geometry; DFT total energy = -4.353 eV per atom; ΔE_f = 0.241 eV per atom; density of states at the Fermi level = 1.01 states/eV/atom; M_tot = 0.00 μB/cell
1.0
3.817 0.000 0.000
0.000 4.948 0.000
-1.901 0.000 5.991
Sr Ru Pb
1 1 2
Cartesian
0.000 0.000 0.000
0.004 2.474 4.505
0.006 0.000 3.298
1.912 2.474 2.268

=====

Sr2RuPb | Alexandria | GGA-PBE | optimized geometry; DFT total energy = -3.834 eV per atom; ΔE_f = 0.253 eV per atom; density of states at the Fermi level = 1.06 states/eV/atom; M_tot = 1.40 μB/cell
1.0
0.000 3.751 3.751
3.751 0.000 3.751
3.751 3.751 0.000
Sr Ru Pb
2 1 1
Cartesian
0.000 0.000 0.000
1.876 1.876 1.876
3.751 3.751 3.751
5.627 5.627 5.627

=====

SrRu2Pb | Alexandria | GGA-PBE | optimized geometry; DFT total energy = -5.514 eV per atom; ΔE_f = 0.471 eV per atom; density of states at the Fermi level = 1.15 states/eV/atom; M_tot = 0.58 μB/cell
1.0
5.944 -1.573 0.000
5.944 1.573 0.000
-2.081 0.000 4.520
Sr Ru Pb
1 2 1
Cartesian
0.000 0.000 0.000
4.724 0.000 2.174
8.760 0.000 1.314
1.041 0.000 3.231

=====

SrRu2Pb | Alexandria | GGA-PBE | optimized geometry; DFT total energy = -5.389 eV per atom; ΔE_f = 0.596 eV per atom; density of states at the Fermi level = 1.20 states/eV/atom; M_tot = 0.00 μB/cell
1.0
-2.339 2.339 9.661
2.339 -2.339 9.661
2.339 2.339 -9.661
Sr Ru Pb
2 4 2
Cartesian
0.000 0.000 0.000
0.000 2.339 4.830
1.169 -0.417 7.246
1.922 1.169 2.415
1.169 2.755 -2.415
0.417 1.169 12.076
2.339 0.000 4.830
0.000 0.000 9.661

=====

Sr2Ru4Pb | Alexandria | GGA-PBE | optimized geometry; DFT total energy = -4.872 eV per atom; ΔE_f = 1.438 eV per atom; density of states at the Fermi level = 2.13 states/eV/atom; M_tot = 4.75 μB/cell
1.0
-2.518 2.518 7.517
2.518 -2.518 7.517
2.518 2.518 -7.517
Sr Ru Pb
2 4 1
Cartesian
0.000 0.000 1.991
0.000 0.000 13.043
2.518 0.000 0.000
0.000 0.000 4.913
0.000 2.518 0.000
0.000 0.000 10.121
0.000 0.000 7.517

=====

Sr2RuPb | Alexandria | GGA-PBE | optimized geometry; DFT total energy = -3.783 eV per atom; ΔE_f = 0.304 eV per atom; density of states at the Fermi level = 1.02 states/eV/atom; M_tot = 0.25 μB/cell
1.0
1.861 1.075 10.082
-1.861 1.075 10.082
0.000 -2.149 10.082
Sr Ru Pb
2 1 1
Cartesian
0.000 0.000 7.144
0.000 0.000 23.101
0.000 0.000 15.123
0.000 0.000 0.000

=====

SrRuPb2 | Alexandria | GGA-PBE | optimized geometry; DFT total energy = -4.533 eV per atom; ΔE_f = 0.061 eV per atom; density of states at the Fermi level = 0.60 states/eV/atom; M_tot = 0.00 μB/cell
1.0
-1.762 2.908 5.239
1.762 -2.908 5.239
1.762 2.908 -5.239
Sr Ru Pb
1 1 2
Cartesian
0.000 0.000 0.000
0.000 0.000 5.239
1.762 0.000 3.082
0.000 2.908 2.157

=====

- The highest density of states at the Fermi level belongs to which entry?
  Sr2Ru4Pb

=====

- Which of these has the lowest ΔE_f?
  number 8

=====

- Look up the density of states at the Fermi level of the sixth one.
  2.13 states/eV/atom

=====

Copy entry 1 word for word.
SrRu2Pb | Alexandria | GGA-PBE | optimized geometry; DFT total energy = -5.863 eV per atom; ΔE_f = 0.122 eV per atom; density of states at the Fermi level = 1.20 states/eV/atom; M_tot = 0.00 μB/cell
1.0
2.162 1.248 6.183
-2.162 1.248 6.183
0.000 -2.497 6.183
Sr Ru Pb
1 2 1
Cartesian
0.000 0.000 0.000
0.000 0.000 8.414
0.000 0.000 14.570
0.000 0.000 3.726